No. 1
## Re2SiBr (PBE)

Data for an optimized crystal structure of Re2SiBr.

a b c (Å): 3.1611 3.1611 6.7673
angles (deg): 90.00 90.00 90.00
With the nearest neighbours (Å) after each atom.
Space group P4/mmm (No. 123)
Asymmetric unit:
Re (0.0000, 0.0000, 0.1780) x2  1 Re 2.41, 4 Si 2.54
Si (0.5000, 0.5000, 0.0000) x1  8 Re 2.54
Br (0.5000, 0.5000, 0.5000) x1  8 Re 3.12, 4 Br 3.16, 2 Si 3.38

Computed properties:
E_form (uncorrected)   0.597 eV/atom
Magnetization   0.0 μB per formula unit
Total energy   -7.401 eV per atom
Volume   67.6 Å³/cell

=====

No. 2
## Nd6Ho2Pu (PBE)

Data for an optimized crystal structure of Nd6Ho2Pu.

a b c (Å): 10.2477 7.1303 8.6502
angles (deg): 90.00 105.02 90.00
With the nearest neighbours (Å) after each atom.
Space group C2/m (No. 12)
Asymmetric unit:
Nd (0.0491, 0.2438, 0.2034) x8  1 Pu 3.29, 3 Ho 3.40-3.63, 5 Nd 3.40-3.65
Nd (0.1740, 0.0000, 0.5748) x4  7 Nd 3.46-3.77, 1 Pu 3.56, 1 Ho 3.86
Ho (0.2314, 0.5000, 0.9632) x4  8 Nd 3.40-3.80, 2 Ho 3.62
Pu (0.0000, 0.5000, 0.5000) x2  6 Nd 3.29-3.56

Computed properties:
Calculated formation energy   0.1836 eV per atom
Magnetization   6.6 μB per formula unit
Total energy   -5.605 eV per atom
Volume   610.5 Å³/cell

=====

No. 3
## MgGa2Si2 (PBE)

Data for an optimized crystal structure of MgGa2Si2.

a b c (Å): 7.2687 7.2687 3.3830
angles (deg): 90.00 90.00 90.00
With the nearest neighbours (Å) after each atom.
Space group P4/mbm (No. 127)
Asymmetric unit:
Mg (0.0000, 0.0000, 0.0000) x2  4 Ga 2.83
Ga (0.1336, 0.3664, 0.0000) x4  6 Si 2.68-2.76, 1 Ga 2.75, 2 Mg 2.83
Si (0.1641, 0.6641, 0.5000) x4  6 Ga 2.68-2.76

Computed properties:
E_form (uncorrected)   0.231 eV/atom
Magnetization   0.0 μB per formula unit
Total energy   -3.468 eV per atom
Volume   178.7 Å³/cell

=====

No. 4
## Er2MnCd (PBE)

Data for an optimized crystal structure of Er2MnCd.

a b c (Å): 3.4777 3.4777 7.7296
angles (deg): 90.00 90.00 90.00
With the nearest neighbours (Å) after each atom.
Space group P4/mmm (No. 123)
Asymmetric unit:
Er (0.0000, 0.0000, 0.2236) x2  4 Mn 3.01, 4 Cd 3.26
Mn (0.5000, 0.5000, 0.0000) x1  8 Er 3.01
Cd (0.5000, 0.5000, 0.5000) x1  8 Er 3.26, 4 Cd 3.48

Computed properties:
Calculated formation energy   -0.0926 eV per atom
Magnetization   2.8 μB per formula unit
Total energy   -4.895 eV per atom
Volume   93.5 Å³/cell

=====

No. 5
## K4RbRe3O12 (PBE)

Data for an optimized crystal structure of K4RbRe3O12.

a b c (Å): 8.3999 8.3999 8.3999
angles (deg): 90.00 90.00 90.00
With the nearest neighbours (Å) after each atom.
Space group Im-3m (No. 229)
Asymmetric unit:
K (0.2500, 0.2500, 0.2500) x8  12 O 2.97-2.99
Rb (0.0000, 0.0000, 0.0000) x2  6 O 2.42
Re (0.0000, 0.0000, 0.5000) x6  2 O 1.78
O (0.0000, 0.0000, 0.2884) x12  1 Re 1.78
O (0.0000, 0.2500, 0.5000) x12  2 Re 2.10

Computed properties:
E_form (uncorrected)   -1.490 eV/atom
Magnetization   2.0 μB per formula unit
Total energy   -6.600 eV per atom
Volume   592.7 Å³/cell

=====

No. 6
## TbCeN (PBE)

Data for an optimized crystal structure of TbCeN.

a b c (Å): 3.5330 3.5330 4.8840
angles (deg): 90.00 90.00 90.00
With the nearest neighbours (Å) after each atom.
Space group P4/mmm (No. 123)
Asymmetric unit:
Tb (0.0000, 0.0000, 0.0000) x1  4 N 2.50
Ce (0.5000, 0.5000, 0.5000) x1  2 N 2.44
N (0.5000, 0.5000, 0.0000) x1  2 Ce 2.44, 4 Tb 2.50

Computed properties:
E_form (uncorrected)   -0.890 eV/atom
Magnetization   1.0 μB per formula unit
Total energy   -7.186 eV per atom
Volume   61.0 Å³/cell